A plane-wave DFT calculation with PBE was carried out for a relaxed Tb12IrRh6 crystal.

Structure (CIF):
```
data_Tb12IrRh6
_chemical_formula_sum 'Tb36 Ir3 Rh18'
_symmetry_space_group_name_H-M 'R -3'
_symmetry_Int_Tables_number 148
_symmetry_space_group_name_Hall '-R 3'
_cell_length_a 12.4988
_cell_length_b 12.4988
_cell_length_c 11.4575
_cell_angle_alpha 90.00
_cell_angle_beta 90.00
_cell_angle_gamma 120.00
loop_
_atom_site_label
_atom_site_fract_x
_atom_site_fract_y
_atom_site_fract_z
Tb1 0.0268 0.2134 0.3899
Tb2 0.0374 0.2048 0.8808
Ir1 0.0000 0.0000 0.0000
Rh1 0.0441 0.2635 0.6452
```


A plane-wave DFT calculation with PBE was carried out for a relaxed Tb5IrRh2 crystal.

Structure (CIF):
```
data_Tb5IrRh2
_chemical_formula_sum 'Tb20 Ir4 Rh8'
_symmetry_space_group_name_H-M 'I 4/m c m'
_symmetry_Int_Tables_number 140
_symmetry_space_group_name_Hall '-I 4 2c'
_cell_length_a 7.342
_cell_length_b 7.342
_cell_length_c 14.073
_cell_angle_alpha 90.00
_cell_angle_beta 90.00
_cell_angle_gamma 90.00
loop_
_atom_site_label
_atom_site_fract_x
_atom_site_fract_y
_atom_site_fract_z
Tb1 0.000 0.000 0.000
Tb2 0.174 0.326 0.144
Ir1 0.000 0.000 0.250
Rh1 0.131 0.369 0.500
```


A plane-wave DFT calculation with PBE was carried out for a relaxed Tb6IrRh5 crystal.

Structure (CIF):
```
data_Tb6IrRh5
_chemical_formula_sum 'Tb12 Ir2 Rh10'
_symmetry_space_group_name_H-M 'C m m m'
_symmetry_Int_Tables_number 65
_symmetry_space_group_name_Hall '-C 2 2'
_cell_length_a 4.842
_cell_length_b 14.534
_cell_length_c 6.955
_cell_angle_alpha 90.00
_cell_angle_beta 90.00
_cell_angle_gamma 90.00
loop_
_atom_site_label
_atom_site_fract_x
_atom_site_fract_y
_atom_site_fract_z
Tb1 0.000 0.000 0.249
Tb2 0.000 0.334 0.250
Ir1 0.000 0.500 0.000
Rh1 0.000 0.166 0.500
Rh2 0.000 0.169 0.000
Rh3 0.000 0.500 0.500
```


A plane-wave DFT calculation with PBE was carried out for a relaxed Tb5Ir4Rh crystal.

Structure (CIF):
```
data_Tb5Ir4Rh
_chemical_formula_sum 'Tb5 Ir4 Rh1'
_symmetry_space_group_name_H-M 'P 4/m m m'
_symmetry_Int_Tables_number 123
_symmetry_space_group_name_Hall '-P 4 2'
_cell_length_a 3.493
_cell_length_b 3.493
_cell_length_c 16.747
_cell_angle_alpha 90.00
_cell_angle_beta 90.00
_cell_angle_gamma 90.00
loop_
_atom_site_label
_atom_site_fract_x
_atom_site_fract_y
_atom_site_fract_z
Tb1 0.000 0.000 0.000
Tb2 0.000 0.000 0.200
Tb3 0.000 0.000 0.399
Ir1 0.500 0.500 0.100
Ir2 0.500 0.500 0.301
Rh1 0.500 0.500 0.500
```


A plane-wave DFT calculation with PBE was carried out for a relaxed TbIrRh crystal.

Structure (CIF):
```
data_TbIrRh
_chemical_formula_sum 'Tb3 Ir3 Rh3'
_symmetry_space_group_name_H-M 'R 3 m'
_symmetry_Int_Tables_number 160
_symmetry_space_group_name_Hall 'R 3 -2"'
_cell_length_a 4.0284
_cell_length_b 4.0284
_cell_length_c 14.7733
_cell_angle_alpha 90.00
_cell_angle_beta 90.00
_cell_angle_gamma 120.00
loop_
_atom_site_label
_atom_site_fract_x
_atom_site_fract_y
_atom_site_fract_z
Tb1 0.0000 0.0000 0.0000
Ir1 0.0000 0.0000 0.8045
Rh1 0.0000 0.0000 0.1896
```

Results
- energy above the lowest structure with this stoichiometry (meV/atom) = 709


A plane-wave DFT calculation with PBE was carried out for a relaxed Tb3IrRh crystal.

Structure (CIF):
```
data_Tb3IrRh
_chemical_formula_sum 'Tb6 Ir2 Rh2'
_symmetry_space_group_name_H-M 'P m m n'
_symmetry_Int_Tables_number 59
_cell_length_a 4.039
_cell_length_b 6.889
_cell_length_c 8.841
_cell_angle_alpha 90.00
_cell_angle_beta 90.00
_cell_angle_gamma 90.00
loop_
_symmetry_equiv_pos_as_xyz
'x,y,z'
'-x,-y,-z'
'-x+1/2,-y+1/2,z'
'x+1/2,y+1/2,-z'
'x+1/2,-y,-z'
'-x+1/2,y,z'
'-x,y+1/2,-z'
'x,-y+1/2,z'
loop_
_atom_site_label
_atom_site_fract_x
_atom_site_fract_y
_atom_site_fract_z
Tb1 0.250 0.015 0.171
Tb2 0.250 0.250 0.551
Ir1 0.250 0.750 0.664
Rh1 0.250 0.250 0.891
```

Results
- energy above the lowest structure with this stoichiometry (meV/atom) = 57


no.,raw total energy (eV/atom),calculated formation energy (meV per atom),total moment (μB per formula unit)
1,-6.3398,-628,0.00
2,-6.5486,-709,0.00
3,-6.9580,-841,0.00
4,-7.3784,-784,0.00
5,-7.0122,-65,0.00
6,-6.6837,-663,0.00